Density functional theory data (PBE) for LiTm2Ag3 after structural relaxation.

Computed properties:
Energy above the most stable polymorph in this dataset = 0.09 eV/f.u.
Symmetry = P2/m
Theoretical density = 8.72 g/cm³
DOS at the Fermi energy = 3.47 states/eV per cell
Electronic total energy = -20.8 eV/cell
Energy of formation = -0.236 eV/atom

abc: 5.0410 3.4241 7.7795
angles: 90.00 108.61 90.00
Closest atoms and distances in Å follow each position.
Fractional positions:
1 Li 0.0000 0.0000 0.0000  8 Ag 2.82-3.05
2 Tm 0.3300 0.0000 0.6611  8 Ag 3.03-3.15
3 Tm 0.6700 0.0000 0.3389  8 Ag 3.03-3.15
4 Ag 0.1519 0.5000 0.3032  2 Li 2.82, 6 Tm 3.06-3.15
5 Ag 0.5000 0.5000 0.0000  4 Tm 3.03, 4 Li 3.05, 4 Ag 3.36-3.38
6 Ag 0.8481 0.5000 0.6968  2 Li 2.82, 6 Tm 3.06-3.15

---

Density functional theory data (PBE) for LiTmAg3 after structural relaxation.

Computed properties:
Symmetry = Pnma
Theoretical density = 7.74 g/cm³
DOS at the Fermi energy = 9.45 states/eV per cell
Electronic total energy = -60.7 eV/cell
Energy of formation = -0.047 eV/atom

abc: 8.1490 8.9115 5.9028
angles: 90.00 90.00 90.00
Closest atoms and distances in Å follow each position.
Fractional positions:
1 Li 0.0000 0.0000 0.0000  6 Ag 2.54-2.63
2 Li 0.0000 0.5000 0.0000  6 Ag 2.54-2.63
3 Li 0.5000 0.0000 0.5000  6 Ag 2.54-2.63
4 Li 0.5000 0.5000 0.5000  6 Ag 2.54-2.63
5 Tm 0.0356 0.2500 0.4578  9 Ag 3.06-3.27
6 Tm 0.4644 0.7500 0.9578  9 Ag 3.06-3.27
7 Tm 0.5356 0.2500 0.0422  9 Ag 3.06-3.27
8 Tm 0.9644 0.7500 0.5422  9 Ag 3.06-3.27
9 Ag 0.1667 0.2500 0.9429  2 Li 2.63, 4 Ag 2.76-2.78
10 Ag 0.2232 0.5122 0.6998  2 Li 2.54-2.55, 2 Ag 2.76-2.78
11 Ag 0.2232 0.9878 0.6998  2 Li 2.54-2.55, 2 Ag 2.76-2.78
12 Ag 0.2768 0.0122 0.1998  2 Li 2.54-2.55, 2 Ag 2.76-2.78
13 Ag 0.2768 0.4878 0.1998  2 Li 2.54-2.55, 2 Ag 2.76-2.78
14 Ag 0.3333 0.7500 0.4429  2 Li 2.63, 4 Ag 2.76-2.78
15 Ag 0.6667 0.2500 0.5571  2 Li 2.63, 4 Ag 2.76-2.78
16 Ag 0.7232 0.5122 0.8002  2 Li 2.54-2.55, 2 Ag 2.76-2.78
17 Ag 0.7232 0.9878 0.8002  2 Li 2.54-2.55, 2 Ag 2.76-2.78
18 Ag 0.7768 0.0122 0.3002  2 Li 2.54-2.55, 2 Ag 2.76-2.78
19 Ag 0.7768 0.4878 0.3002  2 Li 2.54-2.55, 2 Ag 2.76-2.78
20 Ag 0.8333 0.7500 0.0571  2 Li 2.63, 4 Ag 2.76-2.78

---

Density functional theory data (PBE) for LiTmZn6Ag after structural relaxation.

Computed properties:
Symmetry = Imma
Theoretical density = 6.62 g/cm³
DOS at the Fermi energy = 7.89 states/eV per cell
Electronic total energy = -33.3 eV/cell
Energy of formation = 0.024 eV/atom

abc: 7.8090 7.8090 7.8090
angles: 125.95 109.05 94.97
Closest atoms and distances in Å follow each position.
Fractional positions:
1 Li 0.5000 0.0000 0.0000  2 Zn 2.47
2 Li 0.5000 0.5000 0.5000  2 Zn 2.47
3 Tm 0.0490 0.2990 0.7500  10 Zn 3.02-3.27, 2 Ag 3.10
4 Tm 0.9510 0.7010 0.2500  10 Zn 3.02-3.27, 2 Ag 3.10
5 Zn 0.1069 0.3104 0.1587  4 Zn 2.57-2.84, 1 Ag 2.65, 1 Li 2.82
6 Zn 0.1069 0.9482 0.7965  4 Zn 2.57-2.84, 1 Ag 2.65, 1 Li 2.82
7 Zn 0.2604 0.0104 0.2500  8 Zn 2.84-3.05, 2 Li 3.09
8 Zn 0.3368 0.5868 0.7500  2 Ag 2.44, 2 Li 2.47
9 Zn 0.3484 0.0518 0.6587  4 Zn 2.57-2.84, 1 Ag 2.65, 1 Li 2.82
10 Zn 0.3484 0.6896 0.2965  4 Zn 2.57-2.84, 1 Ag 2.65, 1 Li 2.82
11 Zn 0.6516 0.3104 0.7035  4 Zn 2.57-2.84, 1 Ag 2.65, 1 Li 2.82
12 Zn 0.6516 0.9482 0.3413  4 Zn 2.57-2.84, 1 Ag 2.65, 1 Li 2.82
13 Zn 0.6632 0.4132 0.2500  2 Ag 2.44, 2 Li 2.47
14 Zn 0.7396 0.9896 0.7500  8 Zn 2.84-3.05, 2 Li 3.09
15 Zn 0.8931 0.0518 0.2035  4 Zn 2.57-2.84, 1 Ag 2.65, 1 Li 2.82
16 Zn 0.8931 0.6896 0.8413  4 Zn 2.57-2.84, 1 Ag 2.65, 1 Li 2.82
17 Ag 0.0000 0.5000 0.5000  6 Zn 2.44-2.65
18 Ag 0.5000 0.5000 0.0000  6 Zn 2.44-2.65

---

Density functional theory data (PBE) for LiTmZnAg after structural relaxation.

Computed properties:
Symmetry = F-43m
Theoretical density = 7.39 g/cm³
DOS at the Fermi energy = 4.21 states/eV per cell
Electronic total energy = -11.3 eV/cell
Energy of formation = -0.198 eV/atom

abc: 4.8047 4.8047 4.8047
angles: 60.00 60.00 60.00
Closest atoms and distances in Å follow each position.
Fractional positions:
1 Li 0.0000 0.0000 0.0000  4 Zn 2.94, 4 Ag 2.94
2 Tm 0.5000 0.5000 0.5000  4 Zn 2.94, 4 Ag 2.94
3 Zn 0.2500 0.2500 0.2500  4 Li 2.94, 4 Tm 2.94
4 Ag 0.7500 0.7500 0.7500  4 Tm 2.94, 4 Li 2.94

---

Density functional theory data (PBE) for Li2VAg after structural relaxation.

Computed properties:
Energy above the most stable polymorph in this dataset = 0.00 eV/f.u.
Symmetry = R-3m
Theoretical density = 4.53 g/cm³
DOS at the Fermi energy = 2.47 states/eV per cell
Electronic total energy = -14.7 eV/cell
Energy of formation = 0.280 eV/atom

abc: 10.0971 10.0971 10.0971
angles: 15.40 15.40 15.40
Closest atoms and distances in Å follow each position.
Fractional positions:
1 Li 0.0868 0.0868 0.0868  1 V 2.60, 6 Li 2.71, 3 Ag 2.85
2 Li 0.9132 0.9132 0.9132  1 V 2.60, 6 Li 2.71, 3 Ag 2.85
3 V 0.0000 0.0000 0.0000  2 Li 2.60, 6 V 2.71
4 Ag 0.5000 0.5000 0.5000  6 Ag 2.71, 6 Li 2.85

---

Density functional theory data (PBE) for Li2VAg after structural relaxation.

Computed properties:
Energy above the most stable polymorph in this dataset = 0.39 eV/f.u.
Symmetry = Fm-3m
Theoretical density = 4.47 g/cm³
DOS at the Fermi energy = 5.62 states/eV per cell
Electronic total energy = -14.3 eV/cell
Energy of formation = 0.378 eV/atom

abc: 4.4945 4.4945 4.4945
angles: 60.00 60.00 60.00
Closest atoms and distances in Å follow each position.
Fractional positions:
1 Li 0.2500 0.2500 0.2500  4 Ag 2.75, 4 V 2.75
2 Li 0.7500 0.7500 0.7500  4 Ag 2.75, 4 V 2.75
3 V 0.0000 0.0000 0.0000  8 Li 2.75
4 Ag 0.5000 0.5000 0.5000  8 Li 2.75

---

Density functional theory data (PBE) for LiVAg3 after structural relaxation.

Computed properties:
Energy above the most stable polymorph in this dataset = 1.51 eV/f.u.
Symmetry = Pm-3m
Theoretical density = 4.88 g/cm³
DOS at the Fermi energy = 6.06 states/eV per cell
Electronic total energy = -15.1 eV/cell
Energy of formation = 0.907 eV/atom

abc: 5.0616 5.0616 5.0616
angles: 90.00 90.00 90.00
Closest atoms and distances in Å follow each position.
Fractional positions:
1 Li 0.0000 0.0000 0.0000  12 Ag 3.58
2 V 0.5000 0.5000 0.5000  6 Ag 2.53
3 Ag 0.0000 0.5000 0.5000  2 V 2.53
4 Ag 0.5000 0.0000 0.5000  2 V 2.53
5 Ag 0.5000 0.5000 0.0000  2 V 2.53

---

Density functional theory data (PBE) for LiVAg after structural relaxation.

Computed properties:
Symmetry = P4/nmm
Theoretical density = 5.88 g/cm³
DOS at the Fermi energy = 5.13 states/eV per cell
Electronic total energy = -27.1 eV/cell
Energy of formation = 0.116 eV/atom

abc: 3.1228 3.1228 9.6007
angles: 90.00 90.00 90.00
Closest atoms and distances in Å follow each position.
Fractional positions:
1 Li 0.2500 0.2500 0.0883  4 Ag 2.70, 4 Li 2.78
2 Li 0.7500 0.7500 0.9117  4 Ag 2.70, 4 Li 2.78
3 V 0.2500 0.2500 0.4422  4 V 2.47
4 V 0.7500 0.7500 0.5578  4 V 2.47
5 Ag 0.2500 0.2500 0.7503  4 Li 2.70, 5 V 2.88-2.96
6 Ag 0.7500 0.7500 0.2497  4 Li 2.70, 5 V 2.88-2.96

---

What did the fourth record say?
Density functional theory data (PBE) for LiTmZnAg after structural relaxation.

Computed properties:
Symmetry = F-43m
Theoretical density = 7.39 g/cm³
DOS at the Fermi energy = 4.21 states/eV per cell
Electronic total energy = -11.3 eV/cell
Energy of formation = -0.198 eV/atom

abc: 4.8047 4.8047 4.8047
angles: 60.00 60.00 60.00
Closest atoms and distances in Å follow each position.
Fractional positions:
1 Li 0.0000 0.0000 0.0000  4 Zn 2.94, 4 Ag 2.94
2 Tm 0.5000 0.5000 0.5000  4 Zn 2.94, 4 Ag 2.94
3 Zn 0.2500 0.2500 0.2500  4 Li 2.94, 4 Tm 2.94
4 Ag 0.7500 0.7500 0.7500  4 Tm 2.94, 4 Li 2.94